The following is a DFT calculation (PBE) of a relaxed structure of HgGe2O4.

Results
Total magnetic moment: 0.00 μB/cell
Crystal system: tetragonal
Density of states at the Fermi level: 1.550 states/eV/f.u.
Volume: 15.39 Å³/atom
Formation energy without anion corrections: -293 meV/atom

Cell lengths 4.5262, 4.5262, 10.5147 Å; angles 90.00, 90.00, 90.00 degrees
Space group I4/mmm (No. 139)
One atom of each set of equivalent atoms:
Hg (0.0000, 0.0000, 0.0000) [2 per cell]
Ge (0.0000, 0.0000, 0.3861) [4 per cell]
O (0.0000, 0.0000, 0.2282) [4 per cell]
O (0.0000, 0.5000, 0.0000) [4 per cell]